(1)
Material: Tb5Ag4Pd
Method: DFT, PBE
State: relaxed

Cell and atoms, written as POSCAR:
```
Tb5Ag4Pd
1.0
3.6067 0.0000 0.0000
0.0000 3.6067 0.0000
0.0000 0.0000 18.3582
Tb Ag Pd
5 4 1
Direct
0.0000 0.0000 0.0000
0.0000 0.0000 0.2035
0.0000 0.0000 0.4072
0.0000 0.0000 0.5928
0.0000 0.0000 0.7965
0.5000 0.5000 0.1017
0.5000 0.5000 0.3039
0.5000 0.5000 0.6961
0.5000 0.5000 0.8983
0.5000 0.5000 0.5000
```

Output
energy relative to the elements = -426 meV/atom
E = -4.40 eV per atom
SG = No. 123

=====

(2)
Material: HfMg2Au
Method: DFT, PBE
State: relaxed

Cell and atoms, written as POSCAR:
```
HfMg2Au
1.0
7.8297 0.0000 0.0000
0.0000 7.8297 0.0000
0.0000 0.0000 5.6818
Hf Mg Au
4 8 4
Direct
0.0000 0.0000 0.0000
0.0000 0.5000 0.2500
0.5000 0.0000 0.7500
0.5000 0.5000 0.5000
0.2064 0.2500 0.6250
0.2500 0.7064 0.8750
0.2500 0.7936 0.3750
0.2936 0.2500 0.1250
0.7064 0.7500 0.1250
0.7500 0.2064 0.3750
0.7500 0.2936 0.8750
0.7936 0.7500 0.6250
0.0000 0.0000 0.5000
0.0000 0.5000 0.7500
0.5000 0.0000 0.2500
0.5000 0.5000 0.0000
```

Output
energy above the lowest structure with this stoichiometry = 0.2871 eV per atom
energy relative to the elements = 81 meV/atom
E = -4.02 eV per atom
SG = No. 122

=====

(3)
Material: Tl6PdAu3
Method: DFT, PBE
State: relaxed

Cell and atoms, written as POSCAR:
```
Tl6PdAu3
1.0
11.3030 0.0000 0.0000
0.0000 3.9311 0.0000
-4.8920 0.0000 11.3953
Tl Pd Au
12 2 6
Direct
0.0794 0.2500 0.2999
0.1348 0.7500 0.5534
0.2330 0.7500 0.9065
0.2404 0.2500 0.1377
0.3919 0.2500 0.7682
0.3959 0.7500 0.3726
0.6041 0.2500 0.6274
0.6081 0.7500 0.2318
0.7596 0.7500 0.8623
0.7670 0.2500 0.0935
0.8652 0.2500 0.4466
0.9206 0.7500 0.7001
0.1144 0.2500 0.7220
0.8856 0.7500 0.2780
0.0035 0.7500 0.0898
0.3187 0.2500 0.5126
0.4515 0.2500 0.0599
0.5485 0.7500 0.9401
0.6813 0.7500 0.4874
0.9965 0.2500 0.9102
```

Output
energy relative to the elements = -24 meV/atom
E = -2.95 eV per atom
SG = No. 11

=====

(4)
Material: Rb2MgInCl6
Method: DFT, PBE
State: relaxed

Cell and atoms, written as POSCAR:
```
Rb2MgInCl6
1.0
3.7140 2.1443 13.5604
-3.7140 2.1443 13.5604
0.0000 -4.2886 13.5604
Rb Mg In Cl
4 2 2 12
Direct
0.1172 0.1172 0.1172
0.2803 0.2803 0.2803
0.7197 0.7197 0.7197
0.8828 0.8828 0.8828
0.4155 0.4155 0.4155
0.5845 0.5845 0.5845
0.0000 0.0000 0.0000
0.5000 0.5000 0.5000
0.1509 0.6164 0.6164
0.2239 0.2239 0.7135
0.2239 0.7135 0.2239
0.2865 0.7761 0.7761
0.3836 0.3836 0.8491
0.3836 0.8491 0.3836
0.6164 0.1509 0.6164
0.6164 0.6164 0.1509
0.7135 0.2239 0.2239
0.7761 0.2865 0.7761
0.7761 0.7761 0.2865
0.8491 0.3836 0.3836
```

Output
E = -3.38 eV per atom
ΔE_f (raw) = -158 kJ per mole of atoms
SG = No. 166